Np2MnGa8 (PBE-GGA, relaxed); calculated formation energy = -0.183 eV per atom
1.0
-4.0543 -1.1151 -0.6669
1.2606 -2.8462 -2.9044
0.8336 -7.8477 8.0524
Ga Mn Np
8 1 2
Cartesian
1.0471 -5.3470 2.5740 Ga
-1.1380 -4.4178 0.7147 Ga
1.3619 -8.3116 5.6163 Ga
-3.3221 -3.4974 -1.1351 Ga
-0.0351 -10.2920 3.8309 Ga
-1.9251 -1.5170 0.6502 Ga
-0.8222 -7.3912 3.7665 Ga
-1.6104 -4.4814 3.6928 Ga
0.0000 0.0000 0.0000 Mn
-2.2172 -9.3890 1.9982 Np
0.2571 -2.4201 2.4829 Np